Computed, not measured: crystalline La2YTc at its relaxed geometry at the PBE level of DFT.

Summary:
* SG: No. 99
* crystal system: tetragonal
* final energy: -6.591 eV per atom
* spin magnetization: 0.00 μB per formula unit
* calculated density: 6.71 g/cm3

Lattice parameters (Å, degrees): 3.5251 3.5251 9.2488 90.00 90.00 90.00
Closest atoms and distances in Å follow each position.
Sites, in units of the cell vectors:
La (0.0000, 0.0000, 0.9980)  8 La 3.53-3.87, 4 Y 3.83
La (0.5000, 0.5000, 0.3179)  4 Tc 3.01
Tc (0.0000, 0.0000, 0.5006)  4 La 3.01, 4 Y 3.01
Y (0.5000, 0.5000, 0.6835)  4 Tc 3.01